Density functional theory data (PBE-GGA) for crystalline Na3Bi2Pb3 at its relaxed geometry.

Cell lengths 6.4653, 6.4653, 17.4930 Å; angles 90.00, 90.00, 134.26 degrees
Element x y z (fractional)
Na 0.0509 0.9491 0.6133
Na 0.0509 0.9491 0.8867
Na 0.2872 0.7128 0.7500
Na 0.7128 0.2872 0.2500
Na 0.9491 0.0509 0.1133
Na 0.9491 0.0509 0.3867
Bi 0.2408 0.7592 0.1271
Bi 0.2408 0.7592 0.3729
Bi 0.7592 0.2408 0.6271
Bi 0.7592 0.2408 0.8729
Pb 0.3703 0.6297 0.5326
Pb 0.3703 0.6297 0.9674
Pb 0.4380 0.5620 0.2500
Pb 0.5620 0.4380 0.7500
Pb 0.6297 0.3703 0.0326
Pb 0.6297 0.3703 0.4674

Output
Its energy above the most stable polymorph in this dataset is 0.0 meV/atom. For the total energy, the calculation gives -2.9830 eV/atom. Its volume is 32.73 Å³ per atom. The calculation puts the formation energy at -0.1275 eV/atom. Its space group is Cmcm.